Tc2RuO6 | PBE | optimized geometry

crystal system = trigonal
V = 289 Å³/cell
density of states at the Fermi level = 17.83 states/eV per cell
raw formation energy = -1.238 eV per atom

Unit cell a=8.3888 b=8.3888 c=4.7449 alpha=90.00 beta=90.00 gamma=120.00
Space group P321 (No. 150)
One atom of each set of equivalent atoms:
Tc (0.0000, 0.3275, 0.0000) x3
Tc (0.0000, 0.6612, 0.5000) x3
Ru (0.0000, 0.0000, 0.0000) x1
Ru (0.3333, 0.6667, 0.4964) x2
O (0.1026, 0.5440, 0.2454) x6
O (0.1080, 0.8761, 0.2484) x6
O (0.2140, 0.4351, 0.7433) x6